[1]
A PBEsol-optimized structure of CuTeW2, computed with SCAN.

Calculated values
- final energy (eV per atom) = -47.33
- uncorrected formation energy (eV per formula unit) = 2.51
- spin magnetization (μB/atom) = 0.00

Lattice parameters (Å, degrees): 3.1537 3.1537 24.6853 90.00 90.00 120.00
With the nearest neighbours (Å) after each atom.
Space group R3m (No. 160, hexagonal axes)
One atom of each set of equivalent atoms:
Cu  0.0000  0.0000  0.0000 (multiplicity 3)  3 W 2.67, 3 Te 2.88
Te  0.0000  0.0000  0.2430 (multiplicity 3)  3 Cu 2.88, 3 W 2.90, 6 Te 3.15
W  0.0000  0.0000  0.4848 (multiplicity 3)  3 W 2.55
W  0.0000  0.0000  0.7458 (multiplicity 3)  3 W 2.55, 3 Cu 2.67

[2]
A PBEsol-optimized structure of CuTeW2, computed with SCAN.

Calculated values
- final energy (eV per atom) = -47.06
- uncorrected formation energy (eV per formula unit) = 3.58
- spin magnetization (μB/atom) = 0.00

Lattice parameters (Å, degrees): 3.8481 3.8481 4.3628 90.00 90.00 90.00
With the nearest neighbours (Å) after each atom.
Space group P4/mmm (No. 123)
One atom of each set of equivalent atoms:
Cu  0.0000  0.0000  0.0000 (multiplicity 1)  4 Te 2.72, 8 W 2.91
Te  0.5000  0.5000  0.0000 (multiplicity 1)  4 Cu 2.72, 8 W 2.91
W  0.0000  0.5000  0.5000 (multiplicity 2)  4 W 2.72, 4 Te 2.91, 4 Cu 2.91

[3]
A PBEsol-optimized structure of YCu3Te3, computed with SCAN.

Calculated values
- final energy (eV per atom) = -27.03
- uncorrected formation energy (eV per formula unit) = -3.98
- spin magnetization (μB/atom) = 0.00

Lattice parameters (Å, degrees): 7.3000 7.3000 20.6323 90.00 90.00 120.00
With the nearest neighbours (Å) after each atom.
Space group R-3 (No. 148, hexagonal axes)
One atom of each set of equivalent atoms:
Y  0.0000  0.0000  0.1635 (multiplicity 6)  6 Te 3.03-3.04, 3 Cu 3.37
Cu  0.0188  0.6460  0.6259 (multiplicity 18)  4 Te 2.56-2.69, 2 Cu 2.79
Te  0.0072  0.6935  0.4182 (multiplicity 18)  4 Cu 2.56-2.69

[4]
A PBEsol-optimized structure of ZnCu2Te2, computed with SCAN.

Calculated values
- final energy (eV per atom) = -23.60
- uncorrected formation energy (eV per formula unit) = 0.41
- spin magnetization (μB/atom) = 0.00

Lattice parameters (Å, degrees): 3.6964 3.6964 14.6695 90.00 90.00 90.00
With the nearest neighbours (Å) after each atom.
Space group I4/mmm (No. 139)
One atom of each set of equivalent atoms:
Zn  0.0000  0.0000  0.0000 (multiplicity 2)  8 Te 3.18
Cu  0.0000  0.5000  0.2500 (multiplicity 4)  4 Cu 2.61, 4 Te 2.62
Te  0.0000  0.0000  0.3762 (multiplicity 4)  4 Cu 2.62

[5]
A PBEsol-optimized structure of ZnCuTe, computed with SCAN.

Calculated values
- final energy (eV per atom) = -21.67
- uncorrected formation energy (eV per formula unit) = 0.96
- spin magnetization (μB/atom) = 0.00

Lattice parameters (Å, degrees): 4.2102 4.4320 11.9579 90.00 90.00 90.00
With the nearest neighbours (Å) after each atom.
Space group Fmm2 (No. 42)
One atom of each set of equivalent atoms:
Zn  0.0000  0.0000  0.0000 (multiplicity 4)  4 Cu 2.47-2.57
Cu  0.0000  0.0000  0.3913 (multiplicity 4)  4 Zn 2.47-2.57
Te  0.0000  0.0000  0.7185 (multiplicity 4)  4 Cu 2.95-3.03, 4 Te 3.06

[6]
A PBEsol-optimized structure of ZrCuTe, computed with SCAN.

Calculated values
- final energy (eV per atom) = -27.99
- uncorrected formation energy (eV per formula unit) = -0.81
- spin magnetization (μB/atom) = 0.00

Lattice parameters (Å, degrees): 3.5137 3.5137 9.2521 90.00 90.00 90.00
With the nearest neighbours (Å) after each atom.
Space group I4mm (No. 107)
One atom of each set of equivalent atoms:
Zr  0.0000  0.0000  0.0000 (multiplicity 2)  5 Cu 2.91-3.12, 5 Te 2.97-2.99
Cu  0.0000  0.0000  0.6633 (multiplicity 2)  5 Te 2.88-3.17, 5 Zr 2.91-3.12
Te  0.0000  0.0000  0.3210 (multiplicity 2)  5 Cu 2.88-3.17, 5 Zr 2.97-2.99

[7]
A PBEsol-optimized structure of Zr2CuTe, computed with SCAN.

Calculated values
- final energy (eV per atom) = -28.25
- uncorrected formation energy (eV per formula unit) = 0.86
- spin magnetization (μB/atom) = 0.42

Lattice parameters (Å, degrees): 6.7775 6.7775 6.7775 90.00 90.00 90.00
With the nearest neighbours (Å) after each atom.
Space group F-43m (No. 216)
One atom of each set of equivalent atoms:
Zr  0.0000  0.0000  0.0000 (multiplicity 4)  4 Zr 2.93, 4 Te 2.93
Zr  0.2500  0.2500  0.2500 (multiplicity 4)  4 Zr 2.93, 4 Cu 2.93
Cu  0.0000  0.0000  0.5000 (multiplicity 4)  4 Zr 2.93, 4 Te 2.93
Te  0.2500  0.2500  0.7500 (multiplicity 4)  4 Zr 2.93, 4 Cu 2.93

[8]
A PBEsol-optimized structure of Zr2CuTe, computed with SCAN.

Calculated values
- final energy (eV per atom) = -28.77
- uncorrected formation energy (eV per formula unit) = -1.23
- spin magnetization (μB/atom) = 0.00

Lattice parameters (Å, degrees): 4.7196 4.7196 3.4722 90.00 90.00 90.00
With the nearest neighbours (Å) after each atom.
Space group P4/mmm (No. 123)
One atom of each set of equivalent atoms:
Zr  0.0000  0.5000  0.0000 (multiplicity 2)  4 Te 2.93, 4 Cu 2.93
Cu  0.0000  0.0000  0.5000 (multiplicity 1)  8 Zr 2.93
Te  0.5000  0.5000  0.5000 (multiplicity 1)  8 Zr 2.93

[9]
A PBEsol-optimized structure of Zr2CuTe, computed with SCAN.

Calculated values
- final energy (eV per atom) = -28.84
- uncorrected formation energy (eV per formula unit) = -1.51
- spin magnetization (μB/atom) = 0.00

Lattice parameters (Å, degrees): 4.0803 4.6360 8.1205 90.00 90.00 90.00
With the nearest neighbours (Å) after each atom.
Space group Immm (No. 71)
One atom of each set of equivalent atoms:
Zr  0.0000  0.0000  0.2436 (multiplicity 4)  4 Cu 2.84-3.12, 4 Te 2.92-3.05, 4 Zr 3.09
Cu  0.0000  0.5000  0.5000 (multiplicity 2)  8 Zr 2.84-3.12, 4 Te 3.09
Te  0.0000  0.5000  0.0000 (multiplicity 2)  8 Zr 2.92-3.05, 4 Cu 3.09

[10]
A PBEsol-optimized structure of ThCu2, computed with SCAN.

Calculated values
- final energy (eV per atom) = -42.30
- ΔE_f (eV/atom) = -0.1895
- spin magnetization (μB/atom) = 0.00

Lattice parameters (Å, degrees): 4.3209 4.3209 3.4402 90.00 90.00 120.00
With the nearest neighbours (Å) after each atom.
Space group P6/mmm (No. 191)
One atom of each set of equivalent atoms:
Th  0.0000  0.0000  0.0000 (multiplicity 1)  12 Cu 3.03
Cu  0.3333  0.6667  0.5000 (multiplicity 2)  3 Cu 2.49

[11]
A PBEsol-optimized structure of TiCu2, computed with SCAN.

Calculated values
- final energy (eV per atom) = -15.64
- ΔE_f (eV/atom) = -0.1688
- spin magnetization (μB/atom) = 0.14

Lattice parameters (Å, degrees): 7.8531 4.5093 4.3408 90.00 90.00 90.00
With the nearest neighbours (Å) after each atom.
Space group Cmcm (No. 63)
One atom of each set of equivalent atoms:
Ti  0.0000  0.2085  0.2500 (multiplicity 4)  10 Cu 2.55-2.71
Cu  0.1728  0.3123  0.7500 (multiplicity 8)  7 Cu 2.55-2.75, 5 Ti 2.55-2.71

[12]
A PBEsol-optimized structure of TiCu4, computed with SCAN.

Calculated values
- final energy (eV per atom) = -15.49
- ΔE_f (eV/atom) = -0.1206
- spin magnetization (μB/atom) = 0.00

Lattice parameters (Å, degrees): 4.4518 4.2734 12.7465 90.00 90.00 90.00
With the nearest neighbours (Å) after each atom.
Space group Pnma (No. 62)
One atom of each set of equivalent atoms:
Ti  0.1542  0.2500  0.0969 (multiplicity 4)  12 Cu 2.54-2.63
Cu  0.1537  0.2500  0.2995 (multiplicity 4)  9 Cu 2.56-2.59, 3 Ti 2.58-2.59
Cu  0.1606  0.2500  0.5027 (multiplicity 4)  8 Cu 2.51-2.65, 4 Ti 2.54-2.59
Cu  0.1743  0.2500  0.7016 (multiplicity 4)  10 Cu 2.47-2.59, 2 Ti 2.63
Cu  0.1798  0.2500  0.8952 (multiplicity 4)  9 Cu 2.47-2.65, 3 Ti 2.57-2.61

[13]
A PBEsol-optimized structure of Ti2Cu3, computed with SCAN.

Calculated values
- final energy (eV per atom) = -15.68
- ΔE_f (eV/atom) = -0.1460
- spin magnetization (μB/atom) = 0.23

Lattice parameters (Å, degrees): 3.0887 3.0887 13.9816 90.00 90.00 90.00
With the nearest neighbours (Å) after each atom.
Space group I4/mmm (No. 139)
One atom of each set of equivalent atoms:
Ti  0.0000  0.0000  0.1048 (multiplicity 4)  9 Cu 2.60-2.65
Cu  0.0000  0.0000  0.2945 (multiplicity 4)  4 Cu 2.51, 5 Ti 2.60-2.65
Cu  0.0000  0.0000  0.5000 (multiplicity 2)  8 Ti 2.63, 2 Cu 2.87

[14]
A PBEsol-optimized structure of Ti2Cu3, computed with SCAN.

Calculated values
- final energy (eV per atom) = -15.70
- ΔE_f (eV/atom) = -0.1712
- spin magnetization (μB/atom) = 0.08

Lattice parameters (Å, degrees): 3.1049 3.1049 13.7685 90.00 90.00 90.00
With the nearest neighbours (Å) after each atom.
Space group P4/nmm (No. 129, origin choice 2)
One atom of each set of equivalent atoms:
Ti  0.2500  0.2500  0.0607 (multiplicity 2)  5 Cu 2.62-2.68, 4 Ti 2.76
Ti  0.2500  0.2500  0.6458 (multiplicity 2)  10 Cu 2.58-2.62
Cu  0.2500  0.2500  0.2554 (multiplicity 2)  5 Cu 2.53-2.75, 5 Ti 2.58-2.68
Cu  0.2500  0.2500  0.4553 (multiplicity 2)  5 Cu 2.52-2.75, 5 Ti 2.60-2.62
Cu  0.2500  0.2500  0.8361 (multiplicity 2)  4 Cu 2.53, 5 Ti 2.62

[15]
A PBEsol-optimized structure of TiTl3Cu, computed with SCAN.

Calculated values
- final energy (eV per atom) = -48.84
- ΔE_f (eV/atom) = 0.8194
- spin magnetization (μB/atom) = 0.00

Lattice parameters (Å, degrees): 5.2935 5.2935 5.2935 90.00 90.00 90.00
With the nearest neighbours (Å) after each atom.
Space group Pm-3m (No. 221)
One atom of each set of equivalent atoms:
Ti  0.0000  0.0000  0.0000 (multiplicity 1)  6 Tl 2.65
Tl  0.0000  0.0000  0.5000 (multiplicity 3)  2 Ti 2.65
Cu  0.5000  0.5000  0.5000 (multiplicity 1)  12 Tl 3.74

[16]
A PBEsol-optimized structure of TiCu2W, computed with SCAN.

Calculated values
- final energy (eV per atom) = -28.77
- ΔE_f (eV/atom) = 0.2570
- spin magnetization (μB/atom) = 0.00

Lattice parameters (Å, degrees): 6.0201 6.0201 6.0201 90.00 90.00 90.00
With the nearest neighbours (Å) after each atom.
Space group Fm-3m (No. 225)
One atom of each set of equivalent atoms:
Ti  0.0000  0.0000  0.0000 (multiplicity 4)  8 Cu 2.61
Cu  0.2500  0.2500  0.2500 (multiplicity 8)  4 W 2.61, 4 Ti 2.61
W  0.0000  0.0000  0.5000 (multiplicity 4)  8 Cu 2.61

[17]
A PBEsol-optimized structure of TiCuW2, computed with SCAN.

Calculated values
- final energy (eV per atom) = -42.14
- ΔE_f (eV/atom) = 0.5127
- spin magnetization (μB/atom) = 0.00

Lattice parameters (Å, degrees): 6.1501 6.1501 6.1501 90.00 90.00 90.00
With the nearest neighbours (Å) after each atom.
Space group Fm-3m (No. 225)
One atom of each set of equivalent atoms:
Ti  0.0000  0.0000  0.0000 (multiplicity 4)  8 W 2.66
Cu  0.0000  0.0000  0.5000 (multiplicity 4)  8 W 2.66
W  0.2500  0.2500  0.2500 (multiplicity 8)  4 Cu 2.66, 4 Ti 2.66

[18]
A PBEsol-optimized structure of YZrTiCu2, computed with SCAN.

Calculated values
- final energy (eV per atom) = -19.60
- ΔE_f (eV/atom) = 1.3905
- spin magnetization (μB/atom) = 0.41

Lattice parameters (Å, degrees): 4.7176 4.7176 4.9656 90.00 90.00 90.00
With the nearest neighbours (Å) after each atom.
Space group P4/mmm (No. 123)
One atom of each set of equivalent atoms:
Y  0.0000  0.0000  0.0000 (multiplicity 1)  4 Cu 2.36, 2 Zr 2.48
Zr  0.0000  0.0000  0.5000 (multiplicity 1)  2 Y 2.48
Ti  0.5000  0.5000  0.5000 (multiplicity 1)  4 Zr 3.34, 8 Cu 3.42
Cu  0.0000  0.5000  0.0000 (multiplicity 2)  2 Y 2.36

[19]
A PBEsol-optimized structure of Ti3ZnCu, computed with SCAN.

Calculated values
- final energy (eV per atom) = -14.78
- ΔE_f (eV/atom) = 0.5803
- spin magnetization (μB/atom) = 0.00

Lattice parameters (Å, degrees): 4.5187 4.5187 4.5187 90.00 90.00 90.00
With the nearest neighbours (Å) after each atom.
Space group Pm-3m (No. 221)
One atom of each set of equivalent atoms:
Ti  0.0000  0.0000  0.5000 (multiplicity 3)  2 Cu 2.26
Zn  0.5000  0.5000  0.5000 (multiplicity 1)  12 Ti 3.20
Cu  0.0000  0.0000  0.0000 (multiplicity 1)  6 Ti 2.26

[20]
A PBEsol-optimized structure of Zr2Ti2Cu, computed with SCAN.

Calculated values
- final energy (eV per atom) = -21.27
- ΔE_f (eV/atom) = 0.4654
- spin magnetization (μB/atom) = 0.00

Lattice parameters (Å, degrees): 3.5457 3.5457 15.1039 90.00 90.00 90.00
With the nearest neighbours (Å) after each atom.
Space group I4/mmm (No. 139)
One atom of each set of equivalent atoms:
Zr  0.0000  0.0000  0.0937 (multiplicity 4)  1 Zr 2.83, 4 Cu 2.88, 4 Ti 2.95
Ti  0.0000  0.5000  0.2500 (multiplicity 4)  4 Ti 2.51
Cu  0.0000  0.0000  0.5000 (multiplicity 2)  8 Zr 2.88